{
  "formula": "Li2BeI",
  "functional": "PBE-GGA",
  "state": "relaxed",
  "dft_energy_ev_per_atom": -2.10,
  "formation_energy_uncorrected_mev_per_atom": 176,
  "m_tot_mub_per_atom": 0.00,
  "vol_a3_per_atom": 23.58,
  "sg": "I-42d, No. 122",
  "cell": [[-3.704, -5.475, -3.185], [3.642, 1.178, -6.260], [2.443, -4.412, -3.709]],
  "species": ["Be", "Li", "Li", "Be", "Li", "Li", "I", "I"],
  "fractional_positions": [[0.250, 0.750, 0.500], [0.375, 0.382, 0.750], [0.132, 0.625, 0.250], [0.500, 0.500, 0.000], [0.618, 0.125, 0.250], [0.875, 0.868, 0.750], [0.000, 0.000, 0.000], [0.750, 0.250, 0.500]]
}